(P)
Density functional theory data (PBE) for a geometry-optimized La2HoTi structure.

a = 3.5211 Å, b = 3.5211 Å, c = 11.1201 Å
α = 80.89°, β = 80.89°, γ = 60.00°
Element x y z (fractional)
Ti 0.0000 0.0000 0.0000
La 0.7422 0.7422 0.7735
La 0.2578 0.2578 0.2265
Ho 0.5000 0.5000 0.5000

Summary:
Theoretical density: 6.94 g/cm³
N(E_F): 1.4605 states/eV per atom
Total magnetic moment: 0.00 μB/f.u.

---

(Q)
Density functional theory data (PBE) for a geometry-optimized La2HoTi structure.

a = 3.5586 Å, b = 3.5586 Å, c = 9.3329 Å
α = 90.00°, β = 90.00°, γ = 90.00°
Element x y z (fractional)
Ho 0.5000 0.5000 0.5000
La 0.0000 0.0000 0.7747
La 0.0000 0.0000 0.2253
Ti 0.5000 0.5000 0.0000

Summary:
Theoretical density: 6.89 g/cm³
N(E_F): 1.1351 states/eV per atom
Total magnetic moment: 0.00 μB/f.u.

---

Which one is most stable, and which one is least stable? (Q) is the most stable of them, while (P) is the least stable.

---

(P)
Density functional theory data (PBE) for a geometry-optimized LaHoTl structure.

a = 4.6612 Å, b = 8.4437 Å, c = 8.4437 Å
α = 120.00°, β = 90.00°, γ = 90.00°
Element x y z (fractional)
Tl 0.0000 0.0000 0.0000
Tl 0.5000 0.6667 0.3333
Tl 0.5000 0.3333 0.6667
Ho 0.5000 0.2630 0.2630
Ho 0.5000 0.7370 0.0000
Ho 0.5000 0.0000 0.7370
La 0.0000 0.6014 0.6014
La 0.0000 0.0000 0.3986
La 0.0000 0.3986 0.0000

Summary:
Theoretical density: 8.80 g/cm³
N(E_F): 0.9241 states/eV per atom
Total magnetic moment: 0.81 μB/f.u.

---

(Q)
Density functional theory data (PBE) for a geometry-optimized LaHoTl structure.

a = 3.6969 Å, b = 3.6969 Å, c = 7.3900 Å
α = 104.49°, β = 104.49°, γ = 90.00°
Element x y z (fractional)
Tl 0.9414 0.9414 0.8829
La 0.6089 0.6089 0.2179
Ho 0.2996 0.2996 0.5992

Summary:
Theoretical density: 8.93 g/cm³
N(E_F): 1.0538 states/eV per atom
Total magnetic moment: 0.00 μB/f.u.

---

Which one is most stable, and which one is least stable? (P) is the most stable of them, while (Q) is the least stable.

---

(P)
Density functional theory data (PBE) for a geometry-optimized La2HoTl3 structure.

a = 3.8538 Å, b = 3.8538 Å, c = 12.1020 Å
α = 90.00°, β = 90.00°, γ = 90.00°
Element x y z (fractional)
Tl 0.0000 0.0000 0.6496
Tl 0.0000 0.0000 0.3504
Tl 0.0000 0.0000 0.0000
La 0.5000 0.5000 0.8256
La 0.5000 0.5000 0.1744
Ho 0.5000 0.5000 0.5000

Summary:
Theoretical density: 9.76 g/cm³
N(E_F): 0.7824 states/eV per atom
Total magnetic moment: 0.00 μB/f.u.

---

(Q)
Density functional theory data (PBE) for a geometry-optimized La2HoTl3 structure.

a = 3.8235 Å, b = 6.8178 Å, c = 14.9139 Å
α = 90.00°, β = 97.36°, γ = 90.00°
Element x y z (fractional)
Ho 0.3336 0.7500 0.6672
Ho 0.6664 0.2500 0.3328
Tl 0.7495 0.7500 0.4990
Tl 0.4212 0.4884 0.8424
Tl 0.4212 0.0116 0.8424
Tl 0.5788 0.5116 0.1576
Tl 0.2505 0.2500 0.5010
Tl 0.5788 0.9884 0.1576
La 0.0061 0.2500 0.0121
La 0.8432 0.2500 0.6863
La 0.9939 0.7500 0.9879
La 0.1568 0.7500 0.3137

Summary:
Theoretical density: 9.09 g/cm³
N(E_F): 0.9486 states/eV per atom
Total magnetic moment: 0.00 μB/f.u.

---

Which one is most stable, and which one is least stable? (P) is the most stable of them, while (Q) is the least stable.

---

(P)
Density functional theory data (PBE) for a geometry-optimized La2Ho3Tl structure.

a = 5.6819 Å, b = 3.8398 Å, c = 8.9828 Å
α = 102.34°, β = 90.00°, γ = 90.00°
Element x y z (fractional)
Tl 0.0000 0.0000 0.0000
Ho 0.5000 0.8301 0.6602
Ho 0.5000 0.1699 0.3398
Ho 0.5000 0.5000 0.0000
La 0.0000 0.6609 0.3219
La 0.0000 0.3391 0.6781

Summary:
Theoretical density: 8.47 g/cm³
N(E_F): 1.3617 states/eV per atom
Total magnetic moment: 0.00 μB/f.u.

---

(Q)
Density functional theory data (PBE) for a geometry-optimized La2Ho3Tl structure.

a = 3.4793 Å, b = 6.4438 Å, c = 9.6804 Å
α = 109.44°, β = 100.35°, γ = 90.00°
Element x y z (fractional)
Tl 0.5000 0.3384 0.0000
La 0.6906 0.3082 0.3813
La 0.3094 0.9269 0.6187
Ho 0.0000 0.9190 0.0000
Ho 0.6328 0.7580 0.2656
Ho 0.3672 0.4924 0.7344

Summary:
Theoretical density: 8.07 g/cm³
N(E_F): 1.4186 states/eV per atom
Total magnetic moment: 0.00 μB/f.u.

---

Which one is most stable, and which one is least stable? (P) is the most stable of them, while (Q) is the least stable.

---

(P)
Density functional theory data (PBE) for a geometry-optimized LaHoTl4 structure.

a = 6.2670 Å, b = 6.2670 Å, c = 6.2670 Å
α = 60.00°, β = 60.00°, γ = 60.00°
Element x y z (fractional)
La 0.2500 0.2500 0.2500
Tl 0.1247 0.6251 0.6251
Tl 0.6251 0.6251 0.1247
Tl 0.6251 0.6251 0.6251
Tl 0.6251 0.1247 0.6251
Ho 0.0000 0.0000 0.0000

Summary:
Theoretical density: 10.70 g/cm³
N(E_F): 0.9409 states/eV per atom
Total magnetic moment: 0.00 μB/f.u.

---

(Q)
Density functional theory data (PBE) for a geometry-optimized LaHoTl4 structure.

a = 5.1680 Å, b = 5.1725 Å, c = 7.6075 Å
α = 89.90°, β = 89.93°, γ = 90.01°
Element x y z (fractional)
Tl 0.0020 0.4972 0.7258
Tl 0.0011 0.4983 0.2705
Tl 0.5014 0.9962 0.2700
Tl 0.5007 0.9974 0.7262
Ho 0.0010 0.9978 0.4981
La 0.5015 0.4968 0.9981

Summary:
Theoretical density: 9.16 g/cm³
N(E_F): 0.9383 states/eV per atom
Total magnetic moment: 0.00 μB/f.u.

---

Which one is most stable, and which one is least stable? (P) is the most stable of them, while (Q) is the least stable.

---

(P)
Density functional theory data (PBE) for a geometry-optimized La6HoTl structure.

a = 6.8455 Å, b = 6.8455 Å, c = 9.6458 Å
α = 110.99°, β = 110.99°, γ = 119.77°
Element x y z (fractional)
La 0.8249 0.8249 0.2511
La 0.1751 0.1751 0.7489
La 0.2573 0.6851 0.2528
La 0.6851 0.2573 0.2528
La 0.7427 0.3149 0.7472
La 0.3149 0.7427 0.7472
Ho 0.0000 0.0000 0.0000
Tl 0.5000 0.5000 0.5000

Summary:
Theoretical density: 7.27 g/cm³
N(E_F): 1.3362 states/eV per atom
Total magnetic moment: 0.00 μB/f.u.

---

(Q)
Density functional theory data (PBE) for a geometry-optimized La6HoTl structure.

a = 5.1214 Å, b = 5.1214 Å, c = 10.3953 Å
α = 90.00°, β = 90.00°, γ = 90.00°
Element x y z (fractional)
La 0.0000 0.5000 0.2462
La 0.5000 0.0000 0.2462
La 0.5000 0.0000 0.7538
La 0.5000 0.5000 0.5000
La 0.5000 0.5000 0.0000
La 0.0000 0.5000 0.7538
Tl 0.0000 0.0000 0.0000
Ho 0.0000 0.0000 0.5000

Summary:
Theoretical density: 7.32 g/cm³
N(E_F): 1.3404 states/eV per atom
Total magnetic moment: 0.00 μB/f.u.

---

Which one is most stable, and which one is least stable? (Q) is the most stable of them, while (P) is the least stable.

---

(P)
Density functional theory data (PBE) for a geometry-optimized LaHo3Tl3 structure.

a = 5.2532 Å, b = 9.5339 Å, c = 9.5339 Å
α = 120.00°, β = 90.00°, γ = 90.00°
Element x y z (fractional)
Tl 0.7500 0.4468 0.0713
Tl 0.2500 0.5532 0.9287
Tl 0.2500 0.0713 0.6244
Tl 0.2500 0.3756 0.4468
Tl 0.7500 0.6244 0.5532
Tl 0.7500 0.9287 0.3756
La 0.2500 0.6667 0.3333
La 0.7500 0.3333 0.6667
Ho 0.7500 0.9979 0.7690
Ho 0.2500 0.7690 0.7711
Ho 0.2500 0.2289 0.9979
Ho 0.7500 0.7711 0.0021
Ho 0.2500 0.0021 0.2310
Ho 0.7500 0.2310 0.2289

Summary:
Theoretical density: 10.01 g/cm³
N(E_F): 0.9439 states/eV per atom
Total magnetic moment: 0.00 μB/f.u.

---

(Q)
Density functional theory data (PBE) for a geometry-optimized LaHo3Tl3 structure.

a = 9.4280 Å, b = 9.4280 Å, c = 9.4280 Å
α = 90.00°, β = 90.00°, γ = 90.00°
Element x y z (fractional)
Ho 0.8227 0.3227 0.1773
Ho 0.6773 0.6773 0.6773
Ho 0.0912 0.4088 0.5912
Ho 0.8158 0.6842 0.3158
Ho 0.1773 0.8227 0.3227
Ho 0.6842 0.3158 0.8158
Ho 0.1842 0.1842 0.1842
Ho 0.3227 0.1773 0.8227
Ho 0.4088 0.5912 0.0912
Ho 0.3158 0.8158 0.6842
Ho 0.5912 0.0912 0.4088
Ho 0.9088 0.9088 0.9088
Tl 0.3901 0.5007 0.7700
Tl 0.8901 0.9993 0.2300
Tl 0.1099 0.4993 0.2700
Tl 0.2700 0.1099 0.4993
Tl 0.5007 0.7700 0.3901
Tl 0.9993 0.2300 0.8901
Tl 0.7700 0.3901 0.5007
Tl 0.4993 0.2700 0.1099
Tl 0.6099 0.0007 0.7300
Tl 0.7300 0.6099 0.0007
Tl 0.2300 0.8901 0.9993
Tl 0.0007 0.7300 0.6099
La 0.9345 0.0655 0.5655
La 0.4345 0.4345 0.4345
La 0.0655 0.5655 0.9345
La 0.5655 0.9345 0.0655

Summary:
Theoretical density: 9.88 g/cm³
N(E_F): 1.1234 states/eV per atom
Total magnetic moment: 0.00 μB/f.u.

---

Which one is most stable, and which one is least stable? (P) is the most stable of them, while (Q) is the least stable.

---

(P)
Density functional theory data (PBE) for a geometry-optimized La3HoTl structure.

a = 5.9626 Å, b = 5.9182 Å, c = 9.8234 Å
α = 90.00°, β = 72.33°, γ = 90.00°
Element x y z (fractional)
Ho 0.4725 0.7500 0.7034
Ho 0.1759 0.2500 0.2966
La 0.0735 0.7500 0.5014
La 0.3826 0.2500 0.8831
La 0.7666 0.2500 0.1152
La 0.5749 0.2500 0.4986
La 0.2657 0.7500 0.1169
La 0.8818 0.7500 0.8848
Tl 0.6711 0.7500 0.3061
Tl 0.9772 0.2500 0.6939

Summary:
Theoretical density: 7.90 g/cm³
N(E_F): 1.1069 states/eV per atom
Total magnetic moment: 0.00 μB/f.u.

---

(Q)
Density functional theory data (PBE) for a geometry-optimized La3HoTl structure.

a = 6.5857 Å, b = 8.3207 Å, c = 8.4172 Å
α = 119.62°, β = 110.01°, γ = 90.00°
Element x y z (fractional)
La 0.5102 0.7108 0.4216
La 0.5000 0.3149 0.0000
La 0.4898 0.2892 0.5784
La 0.5000 0.6851 0.0000
La 0.0000 0.0000 0.0000
La 0.0000 0.5000 0.0000
Ho 0.0000 0.5000 0.5000
Ho 0.0000 0.0000 0.5000
Tl 0.6615 0.1211 0.2422
Tl 0.3385 0.8789 0.7578

Summary:
Theoretical density: 7.08 g/cm³
N(E_F): 1.4702 states/eV per atom
Total magnetic moment: 0.00 μB/f.u.

---

Which one is most stable, and which one is least stable? (P) is the most stable of them, while (Q) is the least stable.

---

(P)
Density functional theory data (PBE) for a geometry-optimized La2HoTl2 structure.

a = 5.0255 Å, b = 6.2282 Å, c = 6.2282 Å
α = 70.90°, β = 66.21°, γ = 66.21°
Element x y z (fractional)
La 0.8156 0.6844 0.6844
La 0.1844 0.3156 0.3156
Tl 0.5000 0.7263 0.2737
Tl 0.5000 0.2737 0.7263
Ho 0.0000 0.0000 0.0000

Summary:
Theoretical density: 8.84 g/cm³
N(E_F): 0.9174 states/eV per atom
Total magnetic moment: 0.00 μB/f.u.

---

(Q)
Density functional theory data (PBE) for a geometry-optimized La2HoTl2 structure.

a = 4.7655 Å, b = 8.2687 Å, c = 8.2687 Å
α = 90.00°, β = 90.00°, γ = 90.00°
Element x y z (fractional)
La 0.5000 0.3312 0.1688
La 0.5000 0.8312 0.3312
La 0.5000 0.1688 0.6688
La 0.5000 0.6688 0.8312
Tl 0.0000 0.6320 0.1320
Tl 0.0000 0.3680 0.8680
Tl 0.0000 0.1320 0.3680
Tl 0.0000 0.8680 0.6320
Ho 0.0000 0.5000 0.5000
Ho 0.0000 0.0000 0.0000

Summary:
Theoretical density: 8.68 g/cm³
N(E_F): 1.5084 states/eV per atom
Total magnetic moment: 0.00 μB/f.u.

---

Which one is most stable, and which one is least stable? (Q) is the most stable of them, while (P) is the least stable.

---

(P)
Density functional theory data (PBE) for a geometry-optimized LaHoTlZn structure.

a = 5.3680 Å, b = 5.3680 Å, c = 5.3680 Å
α = 60.00°, β = 60.00°, γ = 60.00°
Element x y z (fractional)
Tl 0.0000 0.0000 0.0000
Zn 0.5000 0.5000 0.5000
Ho 0.7500 0.7500 0.7500
La 0.2500 0.2500 0.2500

Summary:
Theoretical density: 8.71 g/cm³
N(E_F): 1.1806 states/eV per atom
Total magnetic moment: 0.00 μB/f.u.

---

(Q)
Density functional theory data (PBE) for a geometry-optimized LaHoTlZn structure.

a = 3.7388 Å, b = 3.7388 Å, c = 7.7038 Å
α = 90.00°, β = 90.00°, γ = 90.00°
Element x y z (fractional)
Zn 0.5000 0.5000 0.5810
Ho 0.0000 0.0000 0.3815
Tl 0.5000 0.5000 0.1296
La 0.0000 0.0000 0.8359

Summary:
Theoretical density: 8.85 g/cm³
N(E_F): 0.8892 states/eV per atom
Total magnetic moment: 0.00 μB/f.u.

---

Which one is most stable, and which one is least stable? (Q) is the most stable of them, while (P) is the least stable.

---

(P)
Density functional theory data (PBE) for a geometry-optimized La2HoTm8 structure.

a = 5.0146 Å, b = 7.9137 Å, c = 9.3706 Å
α = 104.64°, β = 105.52°, γ = 90.00°
Element x y z (fractional)
Ho 0.5000 0.0000 0.0000
La 0.7730 0.3628 0.5459
La 0.2270 0.6372 0.4541
Tm 0.0432 0.7279 0.0864
Tm 0.6802 0.9067 0.3603
Tm 0.9568 0.2721 0.9136
Tm 0.8658 0.8253 0.7317
Tm 0.3198 0.0933 0.6397
Tm 0.4117 0.5471 0.8233
Tm 0.1342 0.1747 0.2683
Tm 0.5883 0.4529 0.1767

Summary:
Theoretical density: 8.62 g/cm³
N(E_F): 1.5503 states/eV per atom
Total magnetic moment: 0.00 μB/f.u.

---

(Q)
Density functional theory data (PBE) for a geometry-optimized La2HoTm8 structure.

a = 6.5502 Å, b = 6.6474 Å, c = 8.8691 Å
α = 99.85°, β = 111.67°, γ = 90.00°
Element x y z (fractional)
La 0.7514 0.6797 0.5029
La 0.2486 0.3203 0.4971
Tm 0.1971 0.8107 0.3942
Tm 0.8251 0.3976 0.1678
Tm 0.6572 0.6024 0.8322
Tm 0.8029 0.1893 0.6058
Tm 0.4111 0.0884 0.8222
Tm 0.5889 0.9116 0.1778
Tm 0.3428 0.3976 0.1678
Tm 0.1749 0.6024 0.8322
Ho 0.0000 0.0000 0.0000

Summary:
Theoretical density: 8.45 g/cm³
N(E_F): 1.3913 states/eV per atom
Total magnetic moment: 0.00 μB/f.u.

---

Which one is most stable, and which one is least stable? (P) is the most stable of them, while (Q) is the least stable.

---

(P)
Density functional theory data (PBE) for a geometry-optimized La2Ho3Tm6 structure.

a = 4.7202 Å, b = 4.7202 Å, c = 16.9106 Å
α = 98.02°, β = 98.02°, γ = 90.00°
Element x y z (fractional)
Tm 0.8760 0.3760 0.7521
Tm 0.3760 0.8760 0.7521
Tm 0.6240 0.1240 0.2479
Tm 0.3054 0.3054 0.6107
Tm 0.6946 0.6946 0.3893
Tm 0.1240 0.6240 0.2479
La 0.5464 0.5464 0.0928
La 0.4536 0.4536 0.9072
Ho 0.0000 0.0000 0.0000
Ho 0.7970 0.7970 0.5939
Ho 0.2030 0.2030 0.4061

Summary:
Theoretical density: 8.03 g/cm³
N(E_F): 1.6154 states/eV per atom
Total magnetic moment: 0.00 μB/f.u.

---

(Q)
Density functional theory data (PBE) for a geometry-optimized La2Ho3Tm6 structure.

a = 6.0551 Å, b = 6.0587 Å, c = 11.7199 Å
α = 85.04°, β = 80.03°, γ = 60.02°
Element x y z (fractional)
La 0.8330 0.3339 0.5000
La 0.1670 0.6661 0.5000
Ho 0.3348 0.3305 0.0000
Ho 0.6652 0.6695 0.0000
Ho 0.0000 0.0000 0.0000
Tm 0.5853 0.3332 0.2436
Tm 0.9185 0.6668 0.2436
Tm 0.7478 0.0000 0.7563
Tm 0.2522 0.0000 0.2437
Tm 0.0815 0.3332 0.7564
Tm 0.4147 0.6668 0.7564

Summary:
Theoretical density: 8.09 g/cm³
N(E_F): 1.6124 states/eV per atom
Total magnetic moment: 0.01 μB/f.u.

---

Which one is most stable, and which one is least stable? (Q) is the most stable of them, while (P) is the least stable.